1.
# Sr12Te5P3

Sr12Te5P3 after structural relaxation (PBE-GGA, Alexandria).

The space group is Ia-3d (No. 230) and the conventional cell measures 18.7689, 18.7689 and 18.7689 Å, with angles of 90.00, 90.00 and 90.00 degrees. The asymmetric unit holds Sr at (0.0139, 0.0775, 0.6536), Te at (0.0000, 0.0000, 0.0000), Te at (0.0000, 0.2500, 0.3750) and P at (0.0000, 0.2500, 0.1250).

For the density of states at the Fermi level, the calculation gives 0.478 states/eV per atom. As for the crystal system: cubic. As for the calculated volume: 6611.77 Å³/cell. As for the energy relative to the elements, uncorrected: -891 meV/atom.

2.
# Ru4Au

Ru4Au after structural relaxation (PBE-GGA, Alexandria).

The space group is Pm-3m (No. 221) and the conventional cell measures 4.8082, 4.8082 and 4.8082 Å, with angles of 90.00, 90.00 and 90.00 degrees. The asymmetric unit holds Ru at (0.0000, 0.0000, 0.0000), Ru at (0.0000, 0.5000, 0.5000) and Au at (0.5000, 0.5000, 0.5000).

For the density of states at the Fermi level, the calculation gives 1.390 states/eV per atom. As for the crystal system: cubic. As for the calculated volume: 111.16 Å³/cell. The value obtained for the formation energy from the elements is 2.5871 eV/atom.

3.
# Tl2CdAgBr6

Tl2CdAgBr6 after structural relaxation (PBE-GGA, Alexandria).

The space group is R3 (No. 146, hexagonal axes) and the conventional cell measures 7.5664, 7.5664 and 20.0283 Å, with angles of 90.00, 90.00 and 120.00 degrees. The asymmetric unit holds Tl at (0.0000, 0.0000, 0.0000), Tl at (0.0000, 0.0000, 0.4803), Cd at (0.0000, 0.0000, 0.6911), Ag at (0.0000, 0.0000, 0.2026), Br at (0.0463, 0.3462, 0.2725) and Br at (0.0849, 0.7480, 0.7707).

For the density of states at the Fermi level, the calculation gives 0.672 states/eV per atom. As for the crystal system: trigonal. As for the calculated volume: 993.10 Å³/cell. As for the energy relative to the elements, uncorrected: -618 meV/atom.

4.
# La3Er2Tm6Pu

La3Er2Tm6Pu after structural relaxation (PBE-GGA, Alexandria).

The space group is C2/m (No. 12) and the conventional cell measures 6.1441, 10.6445 and 11.6566 Å, with angles of 90.00, 100.14 and 90.00 degrees. The asymmetric unit holds La at (0.0000, 0.0000, 0.0000), La at (0.0000, 0.3326, 0.0000), Er at (0.0000, 0.1667, 0.5000), Tm at (0.2452, 0.3356, 0.7421), Tm at (0.2484, 0.5000, 0.2576) and Pu at (0.0000, 0.5000, 0.5000).

For the density of states at the Fermi level, the calculation gives 1.776 states/eV per atom. As for the crystal system: monoclinic. As for the calculated volume: 750.44 Å³/cell. The value obtained for the formation energy from the elements is 0.0466 eV/atom.

5.
# Ba2HfSe3O

Ba2HfSe3O after structural relaxation (PBE-GGA, Alexandria).

The space group is Immm (No. 71) and the conventional cell measures 4.1636, 5.3148 and 17.1369 Å, with angles of 90.00, 90.00 and 90.00 degrees. The asymmetric unit holds Ba at (0.0000, 0.0000, 0.1470), Hf at (0.0000, 0.0000, 0.5000), Se at (0.0000, 0.0000, 0.3392), Se at (0.0000, 0.5000, 0.5000) and O at (0.0000, 0.5000, 0.0000).

As for the crystal system: orthorhombic. As for the calculated volume: 379.22 Å³/cell. As for the energy relative to the elements, uncorrected: -2140 meV/atom.

6.
# KNa3H

KNa3H after structural relaxation (PBE-GGA, Alexandria).

The space group is Pm-3m (No. 221) and the conventional cell measures 5.4667, 5.4667 and 5.4667 Å, with angles of 90.00, 90.00 and 90.00 degrees. The asymmetric unit holds K at (0.0000, 0.0000, 0.0000), Na at (0.0000, 0.5000, 0.5000) and H at (0.5000, 0.5000, 0.5000).

For the density of states at the Fermi level, the calculation gives 0.597 states/eV per atom. As for the crystal system: cubic. As for the calculated volume: 163.37 Å³/cell. For the calculated total energy, the calculation gives -1.555 eV/atom.

7.
# SrReTe

SrReTe after structural relaxation (PBE-GGA, Alexandria).

The space group is F-43m (No. 216) and the conventional cell measures 7.6154, 7.6154 and 7.6154 Å, with angles of 90.00, 90.00 and 90.00 degrees. The asymmetric unit holds Sr at (0.0000, 0.0000, 0.0000), Re at (0.2500, 0.2500, 0.2500) and Te at (0.2500, 0.2500, 0.7500).

For the density of states at the Fermi level, the calculation gives 0.778 states/eV per atom. As for the crystal system: cubic. As for the calculated volume: 441.64 Å³/cell. As for the energy relative to the elements, uncorrected: 1315 meV/atom.

8.
# TbHgGe

TbHgGe after structural relaxation (PBE-GGA, Alexandria).

The space group is Cmcm (No. 63) and the conventional cell measures 4.2007, 16.9465 and 3.9744 Å, with angles of 90.00, 90.00 and 90.00 degrees. The asymmetric unit holds Tb at (0.0000, 0.0945, 0.2500), Hg at (0.0000, 0.2830, 0.2500) and Ge at (0.0000, 0.4505, 0.2500).

For the density of states at the Fermi level, the calculation gives 0.491 states/eV per atom. As for the crystal system: orthorhombic. As for the calculated volume: 282.93 Å³/cell. The value obtained for the formation energy from the elements is -0.5377 eV/atom.

9.
# CsMgCdSn2

CsMgCdSn2 after structural relaxation (PBE-GGA, Alexandria).

The space group is I-4m2 (No. 119) and the conventional cell measures 5.1102, 5.1102 and 12.3655 Å, with angles of 90.00, 90.00 and 90.00 degrees. The asymmetric unit holds Cs at (0.0000, 0.0000, 0.0000), Mg at (0.0000, 0.5000, 0.2500), Cd at (0.0000, 0.5000, 0.7500) and Sn at (0.0000, 0.0000, 0.3798).

For the density of states at the Fermi level, the calculation gives 0.330 states/eV per atom. As for the crystal system: tetragonal. As for the calculated volume: 322.91 Å³/cell. The value obtained for the formation energy from the elements is -0.1754 eV/atom.

10.
# PaTiFe2

PaTiFe2 after structural relaxation (PBE-GGA, Alexandria).

The space group is P4/mmm (No. 123) and the conventional cell measures 2.9821, 2.9821 and 6.7888 Å, with angles of 90.00, 90.00 and 90.00 degrees. The asymmetric unit holds Pa at (0.0000, 0.0000, 0.0000), Ti at (0.0000, 0.0000, 0.5000) and Fe at (0.5000, 0.5000, 0.2897).

For the density of states at the Fermi level, the calculation gives 1.428 states/eV per atom. As for the crystal system: tetragonal. As for the calculated volume: 60.37 Å³/cell. The value obtained for the formation energy from the elements is -0.1508 eV/atom.

> calculated volume of number 9 (CsMgCdSn2)?

322.91 Å³/cell

> The lowest calculated volume belongs to which entry?

PaTiFe2

> calculated volume of number 2 (Ru4Au)?

111.16 Å³/cell

> What is the calculated volume in the tenth record?

60.37 Å³/cell